Computed, not measured: a relaxed HfV2RhN crystal at the GGA-PBE level of DFT.

Properties
Calculated total energy = -9.5582 eV/atom
Energy above the most stable polymorph in this dataset = 0.00 eV per formula unit
Raw formation energy = -0.785 eV/atom

Cell: 3.9172 3.9172 4.4324 Å, 90.00 90.00 90.00°
Sites, in units of the cell vectors:
N 0.0000 0.0000 0.0000
V 0.5000 0.0000 0.0000
Hf 0.0000 0.0000 0.5000
V 0.0000 0.5000 0.0000
Rh 0.5000 0.5000 0.5000


Computed, not measured: a relaxed MnVCo2 crystal at the GGA-PBE level of DFT.

Properties
Calculated total energy = -7.7473 eV/atom

Cell: 6.3592 6.3592 5.1465 Å, 51.84 51.84 90.00°
Sites, in units of the cell vectors:
Mn 0.7500 0.2500 0.5000
Co 0.8750 0.8552 0.7500
Co 0.1448 0.6250 0.2500
Co 0.3750 0.3948 0.7500
Mn 0.0000 0.0000 0.0000
Co 0.6052 0.1250 0.2500
V 0.5000 0.5000 0.0000
V 0.2500 0.7500 0.5000


Computed, not measured: a relaxed Li12Bi7Pb2 crystal at the GGA-PBE level of DFT.

Properties
Calculated total energy = -3.1328 eV/atom

Cell: 3.5407 12.7121 12.7121 Å, 120.00 90.00 90.00°
Sites, in units of the cell vectors:
Li 0.5000 0.1866 0.4440
Li 0.0000 0.5012 0.9216
Li 0.5000 0.7152 0.1226
Bi 0.0000 0.0476 0.7951
Bi 0.5000 0.4604 0.0825
Bi 0.0000 0.7476 0.9524
Li 0.0000 0.7889 0.7444
Pb 0.5000 0.0000 0.0000
Li 0.0000 0.2556 0.0445
Li 0.0000 0.4204 0.4988
Li 0.5000 0.8774 0.5927
Bi 0.5000 0.6221 0.5396
Bi 0.5000 0.9175 0.3779
Li 0.5000 0.5560 0.7427
Pb 0.0000 0.6667 0.3333
Bi 0.0000 0.2049 0.2524
Li 0.5000 0.4073 0.2848
Bi 0.0000 0.3333 0.6667
Li 0.0000 0.9555 0.2111
Li 0.0000 0.0784 0.5796
Li 0.5000 0.2573 0.8134


Computed, not measured: a relaxed BePt2Rh crystal at the GGA-PBE level of DFT.

Properties
Calculated total energy = -6.0874 eV/atom

Cell: 5.1444 5.1471 5.1651 Å, 101.97 101.91 119.84°
Sites, in units of the cell vectors:
Pt 0.1125 0.3975 0.8533
Rh 0.6224 0.9066 0.3485
Be 0.6124 0.8973 0.8614
Be 0.1227 0.4078 0.3366
Pt 0.1586 0.8552 0.5983
Pt 0.6600 0.3600 0.1008
Pt 0.5670 0.4467 0.5984
Rh 0.0777 0.9431 0.1007